No. 1
DFT (PBE-GGA) results for a relaxed CePuPa2As4 crystal.

The calculation puts the energy of formation at -1.1544 eV/atom. The raw total energy comes out at -8.39 eV/atom.

Cell lengths 7.156, 4.132, 7.169 Å; angles 90.00, 109.46, 90.00 degrees
Space group P2/m (No. 10)
Asymmetric unit:
1 Ce 0.000 0.000 0.000
2 Pu 0.500 0.500 0.000
3 Pa 0.000 0.500 0.500
4 Pa 0.500 0.000 0.500
5 As 0.250 0.000 0.744
6 As 0.254 0.500 0.257



No. 2
DFT (PBE-GGA) results for a relaxed Rb3Ce2PaAs6 crystal.

The calculation puts the energy of formation at -0.7493 eV/atom. The raw total energy comes out at -5.10 eV/atom.

Cell lengths 7.620, 13.197, 8.288 Å; angles 90.00, 107.84, 90.00 degrees
Space group C2/m (No. 12)
Asymmetric unit:
1 Rb 0.000 0.000 0.000
2 Rb 0.000 0.332 0.000
3 Ce 0.000 0.167 0.500
4 Pa 0.000 0.500 0.500
5 As 0.222 0.337 0.677
6 As 0.234 0.000 0.678



No. 3
DFT (PBE-GGA) results for a relaxed Ce2PaAs3Rh4 crystal.

The calculation puts the energy of formation at -0.8986 eV/atom. The raw total energy comes out at -7.37 eV/atom.

Cell lengths 4.187, 4.187, 11.188 Å; angles 90.00, 90.00, 90.00 degrees
Space group P-4m2 (No. 115)
Asymmetric unit:
1 Ce 0.000 0.500 0.223
2 Pa 0.000 0.000 0.500
3 As 0.000 0.500 0.871
4 As 0.500 0.500 0.500
5 Rh 0.000 0.000 0.000
6 Rh 0.000 0.500 0.653
7 Rh 0.500 0.500 0.000



No. 4
DFT (PBE-GGA) results for a relaxed CePaAs2Ru5 crystal.

The calculation puts the energy of formation at -0.2328 eV/atom. The raw total energy comes out at -8.13 eV/atom.

Cell lengths 3.948, 3.948, 11.546 Å; angles 90.00, 90.00, 90.00 degrees
Space group P4/mmm (No. 123)
Asymmetric unit:
1 Ce 0.000 0.000 0.000
2 Pa 0.000 0.000 0.500
3 As 0.500 0.500 0.209
4 Ru 0.000 0.500 0.333
5 Ru 0.500 0.500 0.000



No. 5
DFT (PBE-GGA) results for a relaxed CePaAsS crystal.

The raw total energy comes out at -7.21 eV/atom. The value obtained for the uncorrected formation energy is -1.1620 eV per atom.

Cell lengths 7.031, 7.031, 7.031 Å; angles 90.00, 90.00, 90.00 degrees
Space group F-43m (No. 216)
Asymmetric unit:
1 Ce 0.000 0.000 0.000
2 Pa 0.000 0.000 0.500
3 As 0.250 0.250 0.250
4 S 0.250 0.250 0.750



No. 6
DFT (PBE-GGA) results for a relaxed CePaAsS crystal.

The raw total energy comes out at -7.40 eV/atom. The value obtained for the uncorrected formation energy is -1.3530 eV per atom.

Cell lengths 3.9141, 3.9141, 21.8107 Å; angles 90.00, 90.00, 120.00 degrees
Space group R3m (No. 160, hexagonal axes)
Asymmetric unit:
1 Ce 0.0000 0.0000 0.0000
2 Pa 0.0000 0.0000 0.8300
3 As 0.0000 0.0000 0.4172
4 S 0.0000 0.0000 0.2440



No. 7
DFT (PBE-GGA) results for a relaxed Ce2ScPaAs5 crystal.

The calculation puts the energy of formation at -0.5526 eV/atom. The raw total energy comes out at -6.21 eV/atom.

Cell lengths 5.144, 5.144, 10.527 Å; angles 90.00, 90.00, 90.00 degrees
Space group P4/mmm (No. 123)
Asymmetric unit:
1 Ce 0.000 0.000 0.220
2 Sc 0.500 0.500 0.500
3 Pa 0.500 0.500 0.000
4 As 0.000 0.000 0.500
5 As 0.000 0.500 0.000
6 As 0.500 0.500 0.261



No. 8
DFT (PBE-GGA) results for a relaxed CePaAsSe crystal.

The raw total energy comes out at -7.17 eV/atom. The value obtained for the uncorrected formation energy is -1.2777 eV per atom.

Cell lengths 4.0136, 4.0136, 22.1157 Å; angles 90.00, 90.00, 120.00 degrees
Space group R3m (No. 160, hexagonal axes)
Asymmetric unit:
1 Ce 0.0000 0.0000 0.0000
2 Pa 0.0000 0.0000 0.8225
3 As 0.0000 0.0000 0.4136
4 Se 0.0000 0.0000 0.2404